# 1
Computed, not measured: crystalline Pm2Ga5Rh at its relaxed geometry at the GGA-PBE level of DFT.

Calculated values
Relative energy among the computed polymorphs = 0.0 meV/atom
Energy relative to the elements = -0.60 eV per atom
Fermi-level density of states = 0.42 states/eV per atom

abc: 4.246 16.761 9.151
angles: 90.00 90.00 90.00
Space group Cmcm (No. 63)
Symmetry-distinct sites (fractional):
Pm (0.000, 0.000, 0.000) (multiplicity 4)
Pm (0.000, 0.194, 0.250) (multiplicity 4)
Ga (0.000, 0.191, 0.607) (multiplicity 8)
Ga (0.000, 0.357, 0.526) (multiplicity 8)
Ga (0.000, 0.411, 0.250) (multiplicity 4)
Rh (0.000, 0.443, 0.750) (multiplicity 4)

# 2
Computed, not measured: crystalline CaBeS2O8 at its relaxed geometry at the GGA-PBE level of DFT.

Calculated values
Formation energy (no corrections) = -1.858 eV per atom
Fermi-level density of states = 0.00 states/eV per atom

abc: 4.7823 4.7823 6.6599
angles: 90.00 90.00 120.00
Space group P-3 (No. 147)
Symmetry-distinct sites (fractional):
Ca (0.0000, 0.0000, 0.0000) (multiplicity 1)
Be (0.0000, 0.0000, 0.5000) (multiplicity 1)
S (0.3333, 0.6667, 0.7373) (multiplicity 2)
O (0.0855, 0.3380, 0.6705) (multiplicity 6)
O (0.3333, 0.6667, 0.9607) (multiplicity 2)

# 3
Computed, not measured: crystalline TiV2BPd at its relaxed geometry at the GGA-PBE level of DFT.

Calculated values
Energy relative to the elements = 1.18 eV per atom
Fermi-level density of states = 1.24 states/eV per atom

abc: 4.677 4.677 3.912
angles: 90.00 90.00 90.00
Space group P4/mmm (No. 123)
Symmetry-distinct sites (fractional):
Ti (0.000, 0.000, 0.000) (multiplicity 1)
V (0.000, 0.500, 0.500) (multiplicity 2)
B (0.500, 0.500, 0.000) (multiplicity 1)
Pd (0.500, 0.500, 0.500) (multiplicity 1)

# 4
Computed, not measured: crystalline Ac2Zn2Cd at its relaxed geometry at the GGA-PBE level of DFT.

Calculated values
Relative energy among the computed polymorphs = 10.3 meV/atom
Energy relative to the elements = -0.25 eV per atom
Fermi-level density of states = 1.37 states/eV per atom

abc: 4.544 6.367 9.782
angles: 90.00 90.00 90.00
Space group Immm (No. 71)
Symmetry-distinct sites (fractional):
Ac (0.000, 0.000, 0.203) (multiplicity 4)
Zn (0.000, 0.270, 0.500) (multiplicity 4)
Cd (0.000, 0.500, 0.000) (multiplicity 2)

- Among the records above, which one has the lowest Fermi-level density of states?
  CaBeS2O8